Below is crystalline Rb2ErGaBr6 at its relaxed geometry, with properties calculated at the PBE level.

Summary:
- energy (eV/atom) = -3.55

abc: 7.926 8.300 11.395
angles: 90.00 89.70 90.00
Sites, in units of the cell vectors:
Ga 0.500 0.000 0.000
Ga 0.000 0.500 0.500
Br 0.182 0.219 0.047
Br 0.714 0.314 0.955
Br 0.786 0.814 0.545
Br 0.214 0.186 0.455
Br 0.408 0.978 0.736
Br 0.682 0.281 0.547
Br 0.592 0.022 0.264
Br 0.318 0.719 0.453
Br 0.286 0.686 0.045
Br 0.092 0.478 0.764
Br 0.818 0.781 0.953
Br 0.908 0.522 0.236
Rb 0.522 0.570 0.750
Rb 0.978 0.070 0.750
Rb 0.478 0.430 0.250
Rb 0.022 0.930 0.250
Er 0.500 0.000 0.500
Er 0.000 0.500 0.000



Below is crystalline ErTl2GaBr6 at its relaxed geometry, with properties calculated at the PBE level.

Summary:
- energy (eV/atom) = -3.44

abc: 8.015 8.015 8.192
angles: 60.71 60.71 59.99
Sites, in units of the cell vectors:
Tl 0.026 0.026 0.922
Tl 0.534 0.534 0.399
Ga 0.815 0.815 0.555
Br 0.181 0.997 0.257
Br 0.997 0.566 0.257
Br 0.566 0.181 0.257
Br 0.656 0.107 0.779
Br 0.458 0.656 0.779
Br 0.107 0.458 0.779
Er 0.322 0.322 0.033



Below is crystalline GdEr2Br at its relaxed geometry, with properties calculated at the PBE level.

Summary:
- energy (eV/atom) = -6.72

abc: 3.621 3.621 10.367
angles: 79.94 79.94 60.00
Site moments in Bohr magnetons follow the coordinates.
Sites, in units of the cell vectors:
Er 0.743 0.743 0.772  -0.04
Er 0.257 0.257 0.228  -0.04
Gd 0.500 0.500 0.500  7.13
Br 0.000 0.000 0.000  0.00



Below is crystalline Gd2ErBr at its relaxed geometry, with properties calculated at the PBE level.

Summary:
- energy (eV/atom) = -9.06
- ΔE to the lowest computed polymorph (meV/atom) = 75

abc: 3.541 3.541 9.502
angles: 90.00 90.00 90.00
Site moments in Bohr magnetons follow the coordinates.
Sites, in units of the cell vectors:
Gd 0.000 0.000 0.761  7.20
Gd 0.000 0.000 0.239  7.20
Br 0.500 0.500 0.000  -0.01
Er 0.500 0.500 0.500  0.00



Below is crystalline Gd2ErBr at its relaxed geometry, with properties calculated at the PBE level.

Summary:
- energy (eV/atom) = -9.14
- ΔE to the lowest computed polymorph (meV/atom) = 0

abc: 3.667 3.667 10.494
angles: 79.94 79.94 60.00
Site moments in Bohr magnetons follow the coordinates.
Sites, in units of the cell vectors:
Er 0.500 0.500 0.500  0.09
Gd 0.257 0.257 0.228  7.13
Gd 0.743 0.743 0.772  7.13
Br 0.000 0.000 0.000  -0.01



Below is crystalline Er4GeBr5 at its relaxed geometry, with properties calculated at the PBE level.

Summary:
- energy (eV/atom) = -4.54

abc: 4.018 8.321 9.209
angles: 102.12 102.60 90.00
Sites, in units of the cell vectors:
Er 0.652 0.078 0.304
Er 0.348 0.922 0.696
Er 0.999 0.777 0.999
Er 0.001 0.223 0.001
Br 0.173 0.837 0.346
Br 0.500 0.500 0.000
Br 0.167 0.328 0.333
Br 0.827 0.163 0.654
Br 0.833 0.672 0.667
Ge 0.500 0.000 0.000



Below is crystalline Er3GeBr3 at its relaxed geometry, with properties calculated at the PBE level.

Summary:
- energy (eV/atom) = -4.67

abc: 9.994 9.994 9.994
angles: 109.47 109.47 109.47
Sites, in units of the cell vectors:
Br 0.495 0.991 0.745
Br 0.255 0.745 0.250
Br 0.009 0.505 0.755
Br 0.245 0.995 0.991
Br 0.005 0.250 0.995
Br 0.491 0.745 0.995
Br 0.750 0.755 0.745
Br 0.255 0.509 0.505
Br 0.005 0.755 0.509
Br 0.245 0.250 0.755
Br 0.495 0.505 0.250
Br 0.750 0.995 0.505
Er 0.762 0.012 0.024
Er 0.762 0.750 0.238
Er 0.524 0.262 0.012
Er 0.988 0.238 0.476
Er 0.738 0.262 0.750
Er 0.738 0.476 0.488
Er 0.988 0.750 0.012
Er 0.250 0.012 0.488
Er 0.976 0.488 0.238
Er 0.512 0.024 0.262
Er 0.250 0.238 0.262
Er 0.512 0.488 0.750
Ge 0.750 0.250 0.250
Ge 0.500 0.250 0.500
Ge 0.000 0.000 0.250
Ge 0.750 0.500 0.000



Below is crystalline ErGe2Br8 at its relaxed geometry, with properties calculated at the PBE level.

Summary:
- energy (eV/atom) = -3.40

abc: 7.318 8.193 8.193
angles: 83.54 78.39 78.39
Sites, in units of the cell vectors:
Br 0.724 0.209 0.209
Br 0.796 0.089 0.740
Br 0.796 0.740 0.089
Br 0.173 0.375 0.375
Br 0.827 0.625 0.625
Br 0.204 0.260 0.911
Br 0.276 0.791 0.791
Br 0.204 0.911 0.260
Ge 0.358 0.182 0.182
Ge 0.642 0.818 0.818
Er 0.000 0.000 0.000